! LiSmSi2Pt (GGA-PBE, optimized geometry); values from VASP
&SYSTEM
  ibrav = 0, nat = 5, ntyp = 4
/
ATOMIC_SPECIES
Sm 150.36 Sm.upf
Si 28.09 Si.upf
Pt 195.08 Pt.upf
Li 6.94 Li.upf
CELL_PARAMETERS angstrom
4.067 0.000 0.000
0.000 4.067 0.000
-2.034 -2.034 5.207
ATOMIC_POSITIONS angstrom
Sm 0.000 0.000 0.000
Si 0.000 0.000 4.021
Si 2.034 2.034 1.186
Pt 0.000 2.034 2.603
Li 2.034 0.000 2.603
! E_tot, eV per atom: -5.60


! LiSm2Si4Pt3 (GGA-PBE, optimized geometry); values from VASP
&SYSTEM
  ibrav = 0, nat = 10, ntyp = 4
/
ATOMIC_SPECIES
Pt 195.08 Pt.upf
Sm 150.36 Sm.upf
Si 28.09 Si.upf
Li 6.94 Li.upf
CELL_PARAMETERS angstrom
-1.910 3.646 0.880
-3.308 -2.103 1.534
4.197 0.009 9.066
ATOMIC_POSITIONS angstrom
Pt 2.098 0.005 4.533
Pt 2.732 1.831 8.405
Pt -1.144 -1.050 1.868
Sm 0.094 1.825 2.705
Sm 1.495 -1.044 7.568
Si -2.609 0.772 1.207
Si -0.122 -1.048 4.076
Si 0.000 0.000 0.000
Si 1.710 1.829 6.197
Li -0.510 0.776 5.740
! E_tot, eV per atom: -6.12


! LiSm2Si3Pt4 (GGA-PBE, optimized geometry); values from VASP
&SYSTEM
  ibrav = 0, nat = 10, ntyp = 4
/
ATOMIC_SPECIES
Sm 150.36 Sm.upf
Li 6.94 Li.upf
Si 28.09 Si.upf
Pt 195.08 Pt.upf
CELL_PARAMETERS angstrom
-1.827 0.541 3.770
0.596 -4.089 0.875
8.832 2.138 3.973
ATOMIC_POSITIONS angstrom
Sm 6.878 -0.452 3.398
Sm 1.338 0.816 2.898
Li 3.801 -0.705 4.309
Si 1.475 -1.759 0.967
Si 4.416 1.069 1.987
Si 6.741 2.123 5.329
Pt 3.585 -1.249 1.917
Pt -0.615 -1.774 2.323
Pt 4.632 1.613 4.379
Pt 0.000 0.000 0.000
! E_tot, eV per atom: -6.25


! Sr2LiSi3Pt12 (GGA-PBE, optimized geometry); values from VASP
&SYSTEM
  ibrav = 0, nat = 18, ntyp = 4
/
ATOMIC_SPECIES
Pt 195.08 Pt.upf
Sr 87.62 Sr.upf
Li 6.94 Li.upf
Si 28.09 Si.upf
CELL_PARAMETERS angstrom
-1.226 6.044 -4.534
2.656 -0.798 -7.134
-5.419 -1.060 -5.300
ATOMIC_POSITIONS angstrom
Pt -2.867 0.555 -12.542
Pt -4.041 3.149 -7.081
Pt -1.913 -0.602 -8.506
Pt -4.867 4.081 -11.202
Pt -2.077 4.788 -8.462
Pt -1.123 3.630 -4.426
Pt 0.051 1.036 -9.887
Pt -4.376 0.893 -8.882
Pt 0.877 0.104 -5.766
Pt -3.284 -0.031 -4.821
Pt -0.706 4.216 -12.147
Pt 0.387 3.293 -8.086
Sr -2.456 2.576 -10.445
Sr -1.534 1.609 -6.523
Li 0.000 0.000 0.000
Si -0.613 3.022 -2.267
Si 1.328 -0.399 -3.567
Si -2.710 -0.530 -2.650
! E_tot, eV per atom: -5.64


! SrLiSi2Pt (GGA-PBE, optimized geometry); values from VASP
&SYSTEM
  ibrav = 0, nat = 5, ntyp = 4
/
ATOMIC_SPECIES
Li 6.94 Li.upf
Si 28.09 Si.upf
Sr 87.62 Sr.upf
Pt 195.08 Pt.upf
CELL_PARAMETERS angstrom
4.293 0.000 0.000
0.000 4.293 0.000
-2.147 -2.147 5.048
ATOMIC_POSITIONS angstrom
Li 2.147 0.000 2.524
Si 2.147 2.147 1.212
Si 0.000 0.000 3.836
Sr 0.000 0.000 0.000
Pt 0.000 2.147 2.524
! E_tot, eV per atom: -4.75


! SrLiSiPt (GGA-PBE, optimized geometry); values from VASP
&SYSTEM
  ibrav = 0, nat = 4, ntyp = 4
/
ATOMIC_SPECIES
Si 28.09 Si.upf
Pt 195.08 Pt.upf
Li 6.94 Li.upf
Sr 87.62 Sr.upf
CELL_PARAMETERS angstrom
-0.061 0.057 4.284
-1.998 -3.131 -2.130
5.866 -0.886 0.096
ATOMIC_POSITIONS angstrom
Si 5.121 -1.456 0.093
Pt 3.688 -3.471 0.099
Li -0.808 -1.996 2.158
Sr 2.491 -1.202 2.195
! E_tot, eV per atom: -4.50


| no. | uncorrected formation energy (eV per atom) |
| --- | --- |
| 1 | -0.897 |
| 2 | -1.002 |
| 3 | -1.075 |
| 4 | -0.412 |
| 5 | -0.649 |
| 6 | -0.736 |